NaAgBMo2: relaxed, PBEsol.

Unit cell a=4.7292 b=4.8463 c=4.8463 alpha=90.00 beta=90.00 gamma=90.00
Closest atoms and distances in Å follow each position.
Fractional coordinates of all 5 atoms:
Na 0.5000 0.0000 0.0000  2 Ag 2.36
Mo 0.0000 0.0000 0.5000  2 Ag 2.42
Mo 0.0000 0.5000 0.0000  2 Ag 2.42
B 0.5000 0.5000 0.5000  8 Mo 3.39, 4 Na 3.43
Ag 0.0000 0.0000 0.0000  2 Na 2.36, 4 Mo 2.42

Summary:
- E (eV for the cell shown) = -20.90
- size of the total moment (μB per formula unit) = 3.68
- space-group type = P4/mmm (123)

LiBi3Pb: relaxed, PBEsol.

Unit cell a=5.1960 b=5.1960 c=5.1960 alpha=90.00 beta=90.00 gamma=90.00
Closest atoms and distances in Å follow each position.
Fractional coordinates of all 5 atoms:
Pb 0.5000 0.5000 0.5000  12 Bi 3.67
Bi 0.0000 0.5000 0.0000  2 Li 2.60
Bi 0.0000 0.0000 0.5000  2 Li 2.60
Bi 0.5000 0.0000 0.0000  2 Li 2.60
Li 0.0000 0.0000 0.0000  6 Bi 2.60

Summary:
- E (eV for the cell shown) = -17.93
- size of the total moment (μB per formula unit) = 0.00
- space-group type = Pm-3m (221)

CuTcTe2: relaxed, PBEsol.

Unit cell a=4.7254 b=4.7254 c=4.7254 alpha=60.00 beta=60.00 gamma=60.00
Closest atoms and distances in Å follow each position.
Fractional coordinates of all 4 atoms:
Cu 0.5000 0.5000 0.5000  4 Te 2.89, 4 Tc 2.89
Tc 0.2500 0.2500 0.2500  4 Te 2.89, 4 Cu 2.89
Te 0.0000 0.0000 0.0000  4 Tc 2.89, 4 Te 2.89
Te 0.7500 0.7500 0.7500  4 Cu 2.89, 4 Te 2.89

Summary:
- formation energy (no corrections) (meV per atom) = 914
- E (eV for the cell shown) = -19.00
- size of the total moment (μB per formula unit) = 0.00
- excess energy over the best structure of this formula in the dataset (meV per atom) = 727
- space-group type = F-43m (216)